# NpHgSe

Crystalline NpHgSe at its relaxed geometry (PBE-GGA, Alexandria).

E_form (uncorrected)	-40	kJ per mole of atoms
magnetic moment	1.6376	μB per atom

Structure (POSCAR):
```
NpHgSe
1.0
3.5651 0.0000 0.0000
0.0000 3.5651 0.0000
-1.7825 -1.7825 6.0360
Np Hg Se
1 1 1
direct
0.6902 0.6902 0.3803
0.0004 0.0004 0.0007
0.3095 0.3095 0.6190
```

---

# NpHgSe

Crystalline NpHgSe at its relaxed geometry (PBE-GGA, Alexandria).

E_form (uncorrected)	-27	kJ per mole of atoms
magnetic moment	1.6640	μB per atom

Structure (POSCAR):
```
NpHgSe
1.0
3.8889 0.0000 0.0000
-1.9444 3.3679 0.0000
0.0000 0.0000 6.4751
Se Hg Np
1 1 1
direct
0.3333 0.6667 0.6373
0.0000 0.0000 0.9925
0.6667 0.3333 0.3702
```

---

# NpHgSe3

Crystalline NpHgSe3 at its relaxed geometry (PBE-GGA, Alexandria).

E_form (uncorrected)	-63	kJ per mole of atoms
magnetic moment	0.6000	μB per atom

Structure (POSCAR):
```
NpHgSe3
1.0
4.2677 0.0000 0.0000
0.0000 6.8125 -0.8127
0.0000 -4.2824 11.7259
Np Hg Se
2 2 6
direct
0.7500 0.8717 0.8380
0.2500 0.1283 0.1620
0.2500 0.1678 0.6897
0.7500 0.8322 0.3103
0.7500 0.4188 0.2624
0.2500 0.1748 0.9477
0.7500 0.9153 0.6231
0.2500 0.0847 0.3769
0.2500 0.5812 0.7376
0.7500 0.8252 0.0523
```

---

# Sr2NpHgSe5

Crystalline Sr2NpHgSe5 at its relaxed geometry (PBE-GGA, Alexandria).

E_form (uncorrected)	-125	kJ per mole of atoms
magnetic moment	0.3333	μB per atom

Structure (POSCAR):
```
Sr2NpHgSe5
1.0
-1.4445 3.9203 -0.7822
-4.9579 -5.3275 -5.9959
-9.2764 -1.6032 9.0950
Se Sr Hg Np
10 4 2 2
direct
0.2861 0.5722 0.6607
0.7139 0.4278 0.1607
0.9423 0.8846 0.5679
0.5042 0.0083 0.2634
0.6401 0.2803 0.5037
0.6985 0.3970 0.8680
0.3599 0.7197 0.0037
0.4958 0.9917 0.7634
0.3015 0.6030 0.3680
0.0577 0.1154 0.0679
0.1104 0.2208 0.6823
0.8738 0.7476 0.8151
0.8896 0.7792 0.1823
0.1262 0.2524 0.3151
0.5449 0.0899 0.9472
0.4551 0.9101 0.4472
0.2081 0.4162 0.0156
0.7919 0.5838 0.5156
```